A geometry-optimized Nd3As2P structure, computed with PBE.

It has space group C2/c (No. 15), with a = 7.343 Å, b = 12.713 Å, c = 7.338 Å, α = 90.00°, β = 109.43° and γ = 90.00°. The distinct sites, in fractional coordinates, are Nd at (0.244, 0.081, 0.000), Nd at (0.250, 0.250, 0.500), As at (0.000, 0.251, 0.750), As at (0.000, 0.417, 0.250) and P at (0.000, 0.084, 0.250).

As for the calculated formation energy: -34.99 kcal/mol of atoms. The magnetic moment comes out at 0.0 μB/f.u. The crystal system is monoclinic.

A geometry-optimized Hg2C structure, computed with PBE.

It has space group P6/mmm (No. 191), with a = 4.7754 Å, b = 4.7754 Å, c = 2.9982 Å, α = 90.00°, β = 90.00° and γ = 120.00°. The distinct sites, in fractional coordinates, are Hg at (0.3333, 0.6667, 0.0000) and C at (0.0000, 0.0000, 0.5000).

As for the calculated formation energy: 48.36 kcal/mol of atoms. The magnetic moment comes out at 0.0 μB/f.u. The value obtained for the energy above the most stable polymorph in this dataset is 1625 meV per atom. The crystal system is hexagonal.

A geometry-optimized KRbLi structure, computed with PBE.

It has space group P3m1 (No. 156), with a = 6.6893 Å, b = 6.6893 Å, c = 4.5252 Å, α = 90.00°, β = 90.00° and γ = 120.00°. The distinct sites, in fractional coordinates, are K at (0.0000, 0.0000, 0.0000), Rb at (0.6667, 0.3333, 0.6089) and Li at (0.3333, 0.6667, 0.2608).

As for the calculated formation energy: 3.82 kcal/mol of atoms. The magnetic moment comes out at 0.0 μB/f.u. The value obtained for the energy above the most stable polymorph in this dataset is 50 meV per atom. The crystal system is trigonal.

A geometry-optimized K3TlAu5 structure, computed with PBE.

It has space group Imma (No. 74), with a = 5.709 Å, b = 20.156 Å, c = 8.565 Å, α = 90.00°, β = 90.00° and γ = 90.00°. The distinct sites, in fractional coordinates, are K at (0.000, 0.087, 0.119), K at (0.000, 0.250, 0.881), Tl at (0.000, 0.250, 0.335), Au at (0.000, 0.000, 0.500), Au at (0.000, 0.144, 0.544) and Au at (0.250, 0.060, 0.750).

As for the calculated formation energy: -6.80 kcal/mol of atoms. The magnetic moment comes out at 0.0 μB/f.u. The crystal system is orthorhombic.

A geometry-optimized SrTaW2 structure, computed with PBE.

It has space group P4/mmm (No. 123), with a = 3.577 Å, b = 3.577 Å, c = 7.240 Å, α = 90.00°, β = 90.00° and γ = 90.00°. The distinct sites, in fractional coordinates, are Sr at (0.000, 0.000, 0.000), Ta at (0.000, 0.000, 0.500) and W at (0.500, 0.500, 0.334).

As for the calculated formation energy: 16.92 kcal/mol of atoms. The magnetic moment comes out at 0.0 μB/f.u. The value obtained for the energy above the most stable polymorph in this dataset is 39 meV per atom. The crystal system is tetragonal.

A geometry-optimized NbOsN3 structure, computed with PBE.

It has space group Pm-3m (No. 221), with a = 3.997 Å, b = 3.997 Å, c = 3.997 Å, α = 90.00°, β = 90.00° and γ = 90.00°. The distinct sites, in fractional coordinates, are Nb at (0.000, 0.000, 0.000), Os at (0.500, 0.500, 0.500) and N at (0.000, 0.000, 0.500).

The magnetic moment comes out at 0.0 μB/f.u. The electronic total energy is -7.734 eV per atom. The crystal system is cubic.

A geometry-optimized Sm3SnPd structure, computed with PBE.

It has space group C2/c (No. 15), with a = 12.567 Å, b = 14.426 Å, c = 6.744 Å, α = 90.00°, β = 100.52° and γ = 90.00°. The distinct sites, in fractional coordinates, are Sm at (0.097, 0.117, 0.010), Sm at (0.135, 0.413, 0.142), Sm at (0.139, 0.305, 0.633), Sn at (0.155, 0.095, 0.504), Pd at (0.000, 0.255, 0.250) and Pd at (0.000, 0.445, 0.750).

As for the calculated formation energy: -12.21 kcal/mol of atoms. The magnetic moment comes out at 0.0 μB/f.u. The crystal system is monoclinic.

A geometry-optimized BaZrFe structure, computed with PBE.

It has space group I4mm (No. 107), with a = 3.471 Å, b = 3.471 Å, c = 13.202 Å, α = 90.00°, β = 90.00° and γ = 90.00°. The distinct sites, in fractional coordinates, are Ba at (0.000, 0.000, 0.000), Zr at (0.000, 0.000, 0.736) and Fe at (0.000, 0.000, 0.316).

As for the calculated formation energy: 9.82 kcal/mol of atoms. The magnetic moment comes out at 1.1 μB/f.u. The value obtained for the energy above the most stable polymorph in this dataset is 0 meV per atom. The crystal system is tetragonal.